Density functional theory data (PBE) for crystalline CeTl2Br4Cl2 at its relaxed geometry.

Geometry as CIF:
```
data_CeTl2Br4Cl2
_chemical_formula_sum 'Ce1 Tl2 Br4 Cl2'
_cell_length_a 7.311
_cell_length_b 7.801
_cell_length_c 7.801
_cell_angle_alpha 60.76
_cell_angle_beta 69.29
_cell_angle_gamma 69.29
_space_group_name_H-M_alt 'P 1'
_space_group_IT_number 1
loop_
_space_group_symop_operation_xyz
'x,y,z'
loop_
_atom_site_label
_atom_site_type_symbol
_atom_site_fract_x
_atom_site_fract_y
_atom_site_fract_z
_atom_site_occupancy
Br1 Br 0.317 0.171 0.673 1
Br2 Br 0.317 0.673 0.171 1
Br3 Br 0.683 0.829 0.327 1
Br4 Br 0.683 0.327 0.829 1
Tl1 Tl 0.711 0.270 0.270 1
Tl2 Tl 0.289 0.730 0.730 1
Cl1 Cl 0.807 0.810 0.810 1
Cl2 Cl 0.193 0.190 0.190 1
Ce1 Ce 0.500 0.000 0.000 1
```

**Size of the total moment**: 0.0000 μB/atom
**Formation energy without anion corrections**: -1.379 eV per atom
**Theoretical density**: 4.41 Mg/m³

***

Density functional theory data (PBE) for crystalline CeTl2Br3Cl3 at its relaxed geometry.

Geometry as CIF:
```
data_CeTl2Br3Cl3
_chemical_formula_sum 'Ce1 Tl2 Br3 Cl3'
_cell_length_a 4.294
_cell_length_b 8.347
_cell_length_c 8.347
_cell_angle_alpha 120.00
_cell_angle_beta 90.00
_cell_angle_gamma 90.00
_space_group_name_H-M_alt 'P 1'
_space_group_IT_number 1
loop_
_space_group_symop_operation_xyz
'x,y,z'
loop_
_atom_site_label
_atom_site_type_symbol
_atom_site_fract_x
_atom_site_fract_y
_atom_site_fract_z
_atom_site_occupancy
Br1 Br 0.000 0.632 0.632 1
Br2 Br 0.000 0.368 0.000 1
Br3 Br 0.000 0.000 0.368 1
Tl1 Tl 0.500 0.333 0.667 1
Tl2 Tl 0.500 0.667 0.333 1
Cl1 Cl 0.500 0.000 0.773 1
Cl2 Cl 0.500 0.773 0.000 1
Cl3 Cl 0.500 0.227 0.227 1
Ce1 Ce 0.000 0.000 0.000 1
```

**Size of the total moment**: 0.0145 μB/atom
**Formation energy without anion corrections**: -1.377 eV per atom
**Theoretical density**: 5.74 Mg/m³